(1)
{"formula": "LaCrRh2", "functional": "PBE", "state": "optimized geometry", "de_polymorph_mev_per_atom": 169, "delta_e_f_ev_per_atom": 0.021, "spacegroup": "Pmm2, No. 25", "lattice_angstrom": [[-0.582, -0.866, 2.928], [-1.715, -3.373, -1.339], [5.327, -2.800, 0.231]], "species": ["Rh", "Rh", "La", "Cr"], "frac_coords": [[0.000, 0.000, 0.009], [0.500, 0.500, 0.287], [0.500, 0.500, 0.780], [0.000, 0.000, 0.425]]}

(2)
{"formula": "MoBr3Cl6", "functional": "PBE", "state": "optimized geometry", "raw_formation_energy_ev_per_atom": -0.47, "spacegroup": "R-3m, No. 166", "lattice_angstrom": [[-3.420, -5.818, 6.661], [-2.203, -5.140, -7.659], [9.178, -2.291, 0.671]], "species": ["Cl", "Cl", "Cl", "Cl", "Cl", "Cl", "Cl", "Cl", "Cl", "Cl", "Cl", "Cl", "Br", "Br", "Br", "Br", "Br", "Br", "Mo", "Mo"], "frac_coords": [[0.945, 0.173, 0.173], [0.478, 0.478, 0.251], [0.251, 0.478, 0.478], [0.827, 0.055, 0.827], [0.055, 0.827, 0.827], [0.173, 0.173, 0.945], [0.749, 0.522, 0.522], [0.522, 0.522, 0.749], [0.522, 0.749, 0.522], [0.827, 0.827, 0.055], [0.173, 0.945, 0.173], [0.478, 0.251, 0.478], [0.093, 0.093, 0.556], [0.444, 0.907, 0.907], [0.907, 0.444, 0.907], [0.093, 0.556, 0.093], [0.907, 0.907, 0.444], [0.556, 0.093, 0.093], [0.000, 0.000, 0.000], [0.500, 0.500, 0.500]]}

(3)
{"formula": "LiTaZn2", "functional": "PBE", "state": "optimized geometry", "de_polymorph_mev_per_atom": 261, "delta_e_f_ev_per_atom": 0.194, "spacegroup": "C2/m, No. 12", "lattice_angstrom": [[4.473, 0.007, -0.015], [3.711, 2.498, -0.015], [0.509, 0.156, 5.691]], "species": ["Li", "Zn", "Zn", "Ta"], "frac_coords": [[0.750, 0.750, 0.750], [0.998, 0.998, 0.976], [0.502, 0.502, 0.524], [0.250, 0.250, 0.250]]}

(4)
{"formula": "SbCSe2N", "functional": "PBE", "state": "optimized geometry", "de_polymorph_mev_per_atom": 0, "raw_formation_energy_ev_per_atom": 0.77, "spacegroup": "P4/mmm, No. 123", "lattice_angstrom": [[-1.780, -5.522, -2.554], [-1.028, -2.349, 5.797], [-2.408, 0.820, -0.095]], "species": ["Se", "Se", "C", "Sb", "N"], "frac_coords": [[0.000, 0.500, 0.000], [0.500, 0.000, 0.000], [0.000, 0.000, 0.000], [0.500, 0.500, 0.500], [0.000, 0.000, 0.500]]}

(5)
{"formula": "TaTlAu", "functional": "PBE", "state": "optimized geometry", "delta_e_f_ev_per_atom": 0.486, "spacegroup": "P3m1, No. 156", "lattice_angstrom": [[4.664, 0.000, 0.000], [-2.332, 4.039, 0.000], [0.000, 0.000, 3.209]], "species": ["Tl", "Au", "Ta"], "frac_coords": [[0.667, 0.333, 0.710], [0.000, 0.000, 0.009], [0.333, 0.667, 0.282]]}

(6)
{"formula": "AcCuSb2", "functional": "PBE", "state": "optimized geometry", "de_polymorph_mev_per_atom": 326, "raw_formation_energy_ev_per_atom": -0.36, "spacegroup": "P4/mmm, No. 123", "lattice_angstrom": [[4.699, 0.000, 0.000], [0.000, 4.800, 0.000], [0.000, 0.000, 4.800]], "species": ["Ac", "Cu", "Sb", "Sb"], "frac_coords": [[0.500, 0.000, 0.000], [0.500, 0.500, 0.500], [0.000, 0.500, 0.000], [0.000, 0.000, 0.500]]}

(7)
{"formula": "LiAlTl2Bi2", "functional": "PBE", "state": "optimized geometry", "delta_e_f_ev_per_atom": -0.109, "spacegroup": "Ibam, No. 72", "lattice_angstrom": [[6.917, 0.000, 0.000], [0.000, 6.899, 0.000], [-3.458, -3.450, 7.494]], "species": ["Li", "Li", "Bi", "Bi", "Bi", "Bi", "Tl", "Tl", "Tl", "Tl", "Al", "Al"], "frac_coords": [[0.000, 0.750, 0.000], [0.000, 0.250, 0.000], [0.160, 0.889, 0.779], [0.381, 0.611, 0.221], [0.619, 0.389, 0.779], [0.840, 0.111, 0.221], [0.070, 0.338, 0.677], [0.393, 0.162, 0.323], [0.607, 0.838, 0.677], [0.930, 0.662, 0.323], [0.500, 0.250, 0.000], [0.500, 0.750, 0.000]]}

(8)
{"formula": "Tc2NiTe", "functional": "PBE", "state": "optimized geometry", "raw_formation_energy_ev_per_atom": 0.32, "spacegroup": "I-4m2, No. 119", "lattice_angstrom": [[-2.294, -2.437, -3.388], [2.901, -0.380, -3.757], [0.717, -0.986, 4.603]], "species": ["Te", "Tc", "Tc", "Ni"], "frac_coords": [[0.500, 0.500, 0.000], [0.000, 0.000, 0.000], [0.250, 0.750, 0.500], [0.750, 0.250, 0.500]]}

no.,total magnetic moment (μB per formula unit),volume (Å³/cell)
1,3.49,75.1
2,0.00,820.0
3,0.00,63.4
4,0.00,102.3
5,0.00,60.4
6,0.00,108.3
7,0.00,357.6
8,0.00,60.4